# Bi17P5Pb5O43 | Alexandria via LeMat-Bulk | GGA-PBEsol | relaxed
# Energy relative to the elements, uncorrected = -107.4 eV per formula unit
# ρ = 8.36 g/cm3
data_Bi17P5Pb5O43
_space_group_name_H-M_alt 'C 1 m 1'
_space_group_IT_number 8
_space_group_name_Hall 'C -2y'
_cell_length_a 15.761
_cell_length_b 16.592
_cell_length_c 11.284
_cell_angle_alpha 90.00
_cell_angle_beta 132.98
_cell_angle_gamma 90.00
loop_
_atom_site_label
_atom_site_fract_x
_atom_site_fract_y
_atom_site_fract_z
_atom_site_occupancy
Bi1 0.000 0.000 0.000 1
Bi2 0.015 0.348 0.702 1
Bi3 0.019 0.000 0.700 1
Bi4 0.158 0.500 0.324 1
Bi5 0.180 0.176 0.686 1
Bi6 0.185 0.171 0.360 1
Bi7 0.194 0.500 0.018 1
Bi8 0.340 0.000 0.685 1
Bi9 0.356 0.328 0.006 1
Bi10 0.360 0.320 0.362 1
Bi11 0.497 0.147 0.344 1
P1 0.016 0.000 0.380 1
P2 0.017 0.347 0.037 1
P3 0.322 0.341 0.645 1
Pb1 0.163 0.164 0.011 1
Pb2 0.168 0.500 0.665 1
Pb3 0.319 0.000 0.330 1
Pb4 0.327 0.000 0.004 1
O1 0.008 0.076 0.455 1
O2 0.014 0.412 0.536 1
O3 0.016 0.261 0.089 1
O4 0.016 0.500 0.785 1
O5 0.019 0.245 0.553 1
O6 0.019 0.407 0.150 1
O7 0.050 0.500 0.370 1
O8 0.110 0.000 0.955 1
O9 0.119 0.090 0.168 1
O10 0.126 0.363 0.066 1
O11 0.135 0.000 0.429 1
O12 0.152 0.089 0.798 1
O13 0.202 0.410 0.888 1
O14 0.222 0.389 0.487 1
O15 0.230 0.239 0.888 1
O16 0.274 0.312 0.720 1
O17 0.282 0.203 0.303 1
O18 0.332 0.093 0.541 1
O19 0.333 0.092 0.166 1
O20 0.352 0.270 0.591 1
O21 0.394 0.279 0.218 1
O22 0.404 0.134 0.860 1
O23 0.416 0.500 0.192 1
O24 0.427 0.398 0.764 1

***

# BiPPb4O8 | Alexandria via LeMat-Bulk | GGA-PBEsol | relaxed
# Energy relative to the elements, uncorrected = -21.0 eV per formula unit
# ρ = 8.52 g/cm3
data_BiPPb4O8
_space_group_name_H-M_alt 'P -1'
_space_group_IT_number 2
_space_group_name_Hall '-P 1'
_cell_length_a 6.314
_cell_length_b 7.258
_cell_length_c 10.769
_cell_angle_alpha 80.55
_cell_angle_beta 73.59
_cell_angle_gamma 89.88
loop_
_atom_site_label
_atom_site_fract_x
_atom_site_fract_y
_atom_site_fract_z
_atom_site_occupancy
Bi1 0.076 0.226 0.097 1
P1 0.057 0.703 0.191 1
Pb1 0.241 0.120 0.522 1
Pb2 0.241 0.622 0.525 1
Pb3 0.471 0.044 0.804 1
Pb4 0.476 0.555 0.802 1
O1 0.100 0.898 0.098 1
O2 0.103 0.553 0.099 1
O3 0.186 0.318 0.721 1
O4 0.219 0.684 0.277 1
O5 0.235 0.808 0.762 1
O6 0.281 0.192 0.230 1
O7 0.434 0.397 0.416 1
O8 0.447 0.896 0.413 1

***

# BiP3Pb3O12 | Alexandria via LeMat-Bulk | GGA-PBEsol | relaxed
# Energy relative to the elements, uncorrected = -36.5 eV per formula unit
# ρ = 6.63 g/cm3
data_BiP3Pb3O12
_space_group_name_H-M_alt 'C 1 c 1'
_space_group_IT_number 9
_space_group_name_Hall 'C -2yc'
_cell_length_a 10.390
_cell_length_b 14.667
_cell_length_c 8.984
_cell_angle_alpha 90.00
_cell_angle_beta 125.25
_cell_angle_gamma 90.00
loop_
_atom_site_label
_atom_site_fract_x
_atom_site_fract_y
_atom_site_fract_z
_atom_site_occupancy
Bi1 0.000 0.170 0.000 1
P1 0.116 0.310 0.371 1
P2 0.421 0.130 0.253 1
P3 0.484 0.438 0.128 1
Pb1 0.172 0.496 0.645 1
Pb2 0.249 0.069 0.505 1
Pb3 0.280 0.247 0.854 1
O1 0.024 0.283 0.808 1
O2 0.045 0.038 0.147 1
O3 0.110 0.128 0.654 1
O4 0.136 0.210 0.328 1
O5 0.175 0.321 0.572 1
O6 0.217 0.373 0.337 1
O7 0.249 0.157 0.091 1
O8 0.325 0.423 0.943 1
O9 0.425 0.095 0.418 1
O10 0.439 0.164 0.747 1
O11 0.459 0.428 0.283 1
O12 0.475 0.054 0.182 1

***

# Bi6P4PbO20 | Alexandria via LeMat-Bulk | GGA-PBEsol | relaxed
# Energy relative to the elements, uncorrected = -56.8 eV per formula unit
# ρ = 7.52 g/cm3
data_Bi6P4PbO20
_space_group_name_H-M_alt 'P -1'
_space_group_IT_number 2
_space_group_name_Hall '-P 1'
_cell_length_a 6.973
_cell_length_b 7.615
_cell_length_c 9.103
_cell_angle_alpha 106.99
_cell_angle_beta 93.72
_cell_angle_gamma 111.83
loop_
_atom_site_label
_atom_site_fract_x
_atom_site_fract_y
_atom_site_fract_z
_atom_site_occupancy
Bi1 0.060 0.209 0.411 1
Bi2 0.172 0.875 0.997 1
Bi3 0.310 0.303 0.830 1
P1 0.151 0.597 0.240 1
P2 0.450 0.729 0.746 1
Pb1 0.500 0.000 0.500 1
O1 0.023 0.380 0.858 1
O2 0.055 0.028 0.863 1
O3 0.124 0.375 0.182 1
O4 0.146 0.666 0.416 1
O5 0.180 0.092 0.596 1
O6 0.283 0.820 0.743 1
O7 0.352 0.498 0.667 1
O8 0.367 0.734 0.216 1
O9 0.373 0.168 0.335 1
O10 0.458 0.213 0.077 1

***

# BiP2PdO | Alexandria via LeMat-Bulk | GGA-PBEsol | relaxed
# Energy relative to the elements, uncorrected = 5.1 eV per formula unit
# ρ = 6.06 g/cm3
data_BiP2PdO
_space_group_name_H-M_alt 'P 4/m m m'
_space_group_IT_number 123
_space_group_name_Hall '-P 4 2'
_cell_length_a 5.173
_cell_length_b 5.173
_cell_length_c 4.025
_cell_angle_alpha 90.00
_cell_angle_beta 90.00
_cell_angle_gamma 90.00
loop_
_atom_site_label
_atom_site_fract_x
_atom_site_fract_y
_atom_site_fract_z
_atom_site_occupancy
Bi1 0.000 0.000 0.000 1
P1 0.000 0.500 0.000 1
Pd1 0.500 0.500 0.500 1
O1 0.000 0.000 0.500 1

***

# ReBiPO2 | Alexandria via LeMat-Bulk | GGA-PBEsol | relaxed
# Energy relative to the elements, uncorrected = 4.3 eV per formula unit
# ρ = 8.42 g/cm3
data_ReBiPO2
_space_group_name_H-M_alt 'P 4/m m m'
_space_group_IT_number 123
_space_group_name_Hall '-P 4 2'
_cell_length_a 4.051
_cell_length_b 4.051
_cell_length_c 5.510
_cell_angle_alpha 90.00
_cell_angle_beta 90.00
_cell_angle_gamma 90.00
loop_
_atom_site_label
_atom_site_fract_x
_atom_site_fract_y
_atom_site_fract_z
_atom_site_occupancy
Re1 0.000 0.000 0.000 1
Bi1 0.500 0.500 0.500 1
P1 0.500 0.500 0.000 1
O1 0.000 0.500 0.500 1

***

Number 6 is which compound? ReBiPO2

***

Which of these has the highest energy relative to the elements, uncorrected? BiP2PdO

***

Please write out number 5 again, unchanged.
# BiP2PdO | Alexandria via LeMat-Bulk | GGA-PBEsol | relaxed
# Energy relative to the elements, uncorrected = 5.1 eV per formula unit
# ρ = 6.06 g/cm3
data_BiP2PdO
_space_group_name_H-M_alt 'P 4/m m m'
_space_group_IT_number 123
_space_group_name_Hall '-P 4 2'
_cell_length_a 5.173
_cell_length_b 5.173
_cell_length_c 4.025
_cell_angle_alpha 90.00
_cell_angle_beta 90.00
_cell_angle_gamma 90.00
loop_
_atom_site_label
_atom_site_fract_x
_atom_site_fract_y
_atom_site_fract_z
_atom_site_occupancy
Bi1 0.000 0.000 0.000 1
P1 0.000 0.500 0.000 1
Pd1 0.500 0.500 0.500 1
O1 0.000 0.000 0.500 1

***

Look up the energy relative to the elements, uncorrected of the third one. -36.5 eV per formula unit